The following is a DFT calculation (PBE-GGA) of a relaxed Al2Tc2Pt crystal. Values from VASP.

Energy of formation in eV/atom: 0.062
Polymorph energy (0 for the lowest one) in meV per atom: 303.3
SG: No. 139

Geometry as Quantum ESPRESSO input:
```
&SYSTEM
  ibrav = 0, nat = 5, ntyp = 3
/
ATOMIC_SPECIES
Tc 98.00 Tc.upf
Pt 195.08 Pt.upf
Al 26.98 Al.upf
CELL_PARAMETERS angstrom
-1.596 -1.135 -2.847
-0.298 -3.138 1.417
-7.039 -0.338 1.983
ATOMIC_POSITIONS crystal
Tc 0.750 0.250 0.500
Tc 0.250 0.750 0.500
Pt 0.000 0.000 0.000
Al 0.403 0.403 0.193
Al 0.597 0.597 0.807
```


The following is a DFT calculation (PBE-GGA) of a relaxed Tl2PdBr7 crystal. Values from VASP.

E_form (uncorrected) in eV per atom: -0.3952
SG: No. 15

Geometry as Quantum ESPRESSO input:
```
&SYSTEM
  ibrav = 0, nat = 20, ntyp = 3
/
ATOMIC_SPECIES
Tl 204.38 Tl.upf
Pd 106.42 Pd.upf
Br 79.90 Br.upf
CELL_PARAMETERS angstrom
-3.374 -7.990 5.961
7.140 -1.425 11.421
-3.560 0.031 7.317
ATOMIC_POSITIONS crystal
Tl 0.736 0.914 0.688
Tl 0.662 0.414 0.188
Tl 0.338 0.586 0.812
Tl 0.264 0.086 0.312
Pd 0.778 0.250 0.750
Pd 0.222 0.750 0.250
Br 0.710 0.454 0.717
Br 0.119 0.954 0.217
Br 0.379 0.826 0.814
Br 0.296 0.234 0.569
Br 0.529 0.250 0.750
Br 0.981 0.326 0.314
Br 0.098 0.266 0.931
Br 0.902 0.734 0.069
Br 0.019 0.674 0.686
Br 0.471 0.750 0.250
Br 0.704 0.766 0.431
Br 0.621 0.174 0.186
Br 0.881 0.046 0.783
Br 0.290 0.546 0.283
```


The following is a DFT calculation (PBE-GGA) of a relaxed ZnIr5Rh4 crystal. Values from VASP.

Energy of formation in eV/atom: 0.253
SG: No. 12

Geometry as Quantum ESPRESSO input:
```
&SYSTEM
  ibrav = 0, nat = 10, ntyp = 3
/
ATOMIC_SPECIES
Zn 65.41 Zn.upf
Ir 192.22 Ir.upf
Rh 102.91 Rh.upf
CELL_PARAMETERS angstrom
-1.691 -3.222 -2.413
-2.986 -4.653 8.303
-0.811 5.568 -2.914
ATOMIC_POSITIONS crystal
Zn 0.500 0.000 0.000
Ir 0.883 0.260 0.766
Ir 0.843 0.936 0.687
Ir 0.157 0.064 0.313
Ir 0.500 0.500 0.000
Ir 0.117 0.740 0.234
Rh 0.463 0.204 0.926
Rh 0.190 0.372 0.380
Rh 0.537 0.796 0.074
Rh 0.810 0.628 0.620
```


The following is a DFT calculation (PBE-GGA) of a relaxed La2Nd3Ho crystal. Values from VASP.

Energy of formation in eV/atom: 0.003
Polymorph energy (0 for the lowest one) in meV per atom: 0.0
SG: No. 193

Geometry as Quantum ESPRESSO input:
```
&SYSTEM
  ibrav = 0, nat = 12, ntyp = 3
/
ATOMIC_SPECIES
La 138.91 La.upf
Nd 144.24 Nd.upf
Ho 164.93 Ho.upf
CELL_PARAMETERS angstrom
3.200 -5.543 0.000
3.200 5.543 0.000
0.000 0.000 11.882
ATOMIC_POSITIONS crystal
La 0.667 0.333 0.000
La 0.333 0.667 0.500
La 0.333 0.667 0.000
La 0.667 0.333 0.500
Nd 0.673 0.673 0.750
Nd 0.000 0.327 0.750
Nd 0.327 0.000 0.750
Nd 0.327 0.327 0.250
Nd 0.000 0.673 0.250
Nd 0.673 0.000 0.250
Ho 0.000 0.000 0.000
Ho 0.000 0.000 0.500
```


The following is a DFT calculation (PBE-GGA) of a relaxed BeAl3Rh crystal. Values from VASP.

Energy of formation in eV/atom: 0.308
Polymorph energy (0 for the lowest one) in meV per atom: 24.7
SG: No. 221

Geometry as Quantum ESPRESSO input:
```
&SYSTEM
  ibrav = 0, nat = 5, ntyp = 3
/
ATOMIC_SPECIES
Be 9.01 Be.upf
Rh 102.91 Rh.upf
Al 26.98 Al.upf
CELL_PARAMETERS angstrom
4.208 0.000 0.000
0.000 4.208 0.000
0.000 0.000 4.208
ATOMIC_POSITIONS crystal
Be 0.000 0.000 0.000
Rh 0.500 0.500 0.500
Al 0.000 0.500 0.000
Al 0.000 0.000 0.500
Al 0.500 0.000 0.000
```


The following is a DFT calculation (PBE-GGA) of a relaxed Tm3MgPb2C crystal. Values from VASP.

Energy of formation in eV/atom: -0.400
SG: No. 71

Geometry as Quantum ESPRESSO input:
```
&SYSTEM
  ibrav = 0, nat = 7, ntyp = 4
/
ATOMIC_SPECIES
Tm 168.93 Tm.upf
Mg 24.30 Mg.upf
Pb 207.20 Pb.upf
C 12.01 C.upf
CELL_PARAMETERS angstrom
4.451 0.000 0.000
0.000 4.780 0.000
-2.225 -2.390 7.965
ATOMIC_POSITIONS crystal
Tm 0.000 0.500 0.000
Tm 0.153 0.153 0.306
Tm 0.847 0.847 0.694
Mg 0.500 0.000 0.000
Pb 0.646 0.646 0.291
Pb 0.354 0.354 0.709
C 0.000 0.000 0.000
```